No. 1
YHg3N | GGA-PBE | optimized geometry

abc: 4.824 4.824 4.824
angles: 90.00 90.00 90.00
Sites, in units of the cell vectors:
Y: 0.000 0.000 0.000
Hg: 0.000 0.500 0.500
Hg: 0.500 0.000 0.500
Hg: 0.500 0.500 0.000
N: 0.500 0.500 0.500

As for the energy above the most stable polymorph in this dataset: 0 meV/atom. For the uncorrected formation energy, the calculation gives 0.653 eV per atom. As for the space-group type: Pm-3m. The density of states at the Fermi level comes out at 5.51 states/eV/cell.

No. 2
Y2HgN | GGA-PBE | optimized geometry

abc: 4.925 4.925 4.925
angles: 60.00 60.00 60.00
Sites, in units of the cell vectors:
Y: 0.250 0.250 0.250
Y: 0.750 0.750 0.750
Hg: 0.000 0.000 0.000
N: 0.500 0.500 0.500

As for the energy above the most stable polymorph in this dataset: 1172 meV/atom. For the uncorrected formation energy, the calculation gives 0.159 eV per atom. As for the space-group type: Fm-3m. The density of states at the Fermi level comes out at 5.23 states/eV/cell.